First-principles (PBE) data for KMg after structural relaxation, as listed in Alexandria via LeMat-Bulk.

Computed properties:
DFT formation energy ... 203 meV/atom
Space group ... Imm2, No. 44
ρ ... 1.1 g/cm3
Magnetization ... 0.00 μB/f.u.

a b c (Å): 8.953 8.953 8.953
angles (deg): 149.67 59.65 129.96
Atoms (fractional coordinates):
K 0.000 0.000 0.000
K 0.574 0.281 0.293
K 0.988 0.281 0.707
Mg 0.234 0.833 0.401
Mg 0.432 0.833 0.599
Mg 0.507 0.507 0.000